No. 1
A plane-wave DFT calculation with PBE was carried out for an optimized crystal structure of ZrSbMo4.

Values from the calculation:
Spin magnetization: 0.00 μB per formula unit
SG: F-43m (216)
Electronic total energy: -0.340 hartree per atom

Lattice parameters (Å, degrees): 5.3579 5.3579 5.3579 60.00 60.00 60.00
Element x y z (fractional)
Zr 0.0000 0.0000 0.0000
Sb 0.2500 0.2500 0.2500
Mo 0.1260 0.6247 0.6247
Mo 0.6247 0.1260 0.6247
Mo 0.6247 0.6247 0.1260
Mo 0.6247 0.6247 0.6247


No. 2
A plane-wave DFT calculation with PBE was carried out for an optimized crystal structure of ZrSb2Mo.

Values from the calculation:
Spin magnetization: 0.00 μB per formula unit
SG: P4mm (99)
Energy relative to the lowest polymorph listed for this composition: 0 meV/atom
Electronic total energy: -0.262 hartree per atom

Lattice parameters (Å, degrees): 3.5991 3.5991 6.6510 90.00 90.00 90.00
Element x y z (fractional)
Zr 0.0000 0.0000 0.0000
Sb 0.0000 0.0000 0.4507
Sb 0.5000 0.5000 0.7911
Mo 0.5000 0.5000 0.2567


No. 3
A plane-wave DFT calculation with PBE was carried out for an optimized crystal structure of ZrSb2Mo.

Values from the calculation:
Spin magnetization: 0.00 μB per formula unit
SG: P2/m (10)
Energy relative to the lowest polymorph listed for this composition: 259 meV/atom
Electronic total energy: -0.252 hartree per atom

Lattice parameters (Å, degrees): 3.3288 4.3679 5.9324 90.00 100.01 90.00
Element x y z (fractional)
Zr 0.0000 0.0000 0.0000
Sb 0.3184 0.5000 0.7397
Sb 0.6816 0.5000 0.2603
Mo 0.5000 0.0000 0.5000


No. 4
A plane-wave DFT calculation with PBE was carried out for an optimized crystal structure of ZrSb2Mo.

Values from the calculation:
Spin magnetization: 0.00 μB per formula unit
SG: R3m (160)
Energy relative to the lowest polymorph listed for this composition: 252 meV/atom
Electronic total energy: -0.252 hartree per atom

Lattice parameters (Å, degrees): 9.2696 9.2696 9.2696 21.13 21.13 21.13
Element x y z (fractional)
Zr 0.0000 0.0000 0.0000
Sb 0.2474 0.2474 0.2474
Sb 0.4797 0.4797 0.4797
Mo 0.7421 0.7421 0.7421


No. 5
A plane-wave DFT calculation with PBE was carried out for an optimized crystal structure of ZrSbMo.

Values from the calculation:
Spin magnetization: 0.00 μB per formula unit
SG: F-43m (216)
Energy relative to the lowest polymorph listed for this composition: 348 meV/atom
Electronic total energy: -0.280 hartree per atom

Lattice parameters (Å, degrees): 4.6009 4.6009 4.6009 60.00 60.00 60.00
Element x y z (fractional)
Zr 0.0000 0.0000 0.0000
Sb 0.5000 0.5000 0.5000
Mo 0.7500 0.7500 0.7500


No. 6
A plane-wave DFT calculation with PBE was carried out for an optimized crystal structure of ZrSb2Mo.

Values from the calculation:
Spin magnetization: 0.00 μB per formula unit
SG: C2/m (12)
Energy relative to the lowest polymorph listed for this composition: 215 meV/atom
Electronic total energy: -0.254 hartree per atom

Lattice parameters (Å, degrees): 4.5915 4.5915 6.0596 101.44 101.44 43.61
Element x y z (fractional)
Zr 0.0000 0.0000 0.0000
Sb 0.2428 0.2428 0.7203
Sb 0.7572 0.7572 0.2797
Mo 0.5000 0.5000 0.5000


No. 7
A plane-wave DFT calculation with PBE was carried out for an optimized crystal structure of ZrSb2Mo.

Values from the calculation:
Spin magnetization: 0.00 μB per formula unit
SG: P4/mmm (123)
Energy relative to the lowest polymorph listed for this composition: 126 meV/atom
Electronic total energy: -0.257 hartree per atom

Lattice parameters (Å, degrees): 4.8790 4.8790 3.4341 90.00 90.00 90.00
Element x y z (fractional)
Zr 0.0000 0.0000 0.0000
Sb 0.0000 0.5000 0.5000
Sb 0.5000 0.0000 0.5000
Mo 0.5000 0.5000 0.0000


No. 8
A plane-wave DFT calculation with PBE was carried out for an optimized crystal structure of ZrSb3Mo.

Values from the calculation:
Spin magnetization: 2.59 μB per formula unit
SG: Pm-3m (221)
Energy relative to the lowest polymorph listed for this composition: 0 meV/atom
Electronic total energy: -0.205 hartree per atom

Lattice parameters (Å, degrees): 5.2256 5.2256 5.2256 90.00 90.00 90.00
Element x y z (fractional)
Zr 0.0000 0.0000 0.0000
Sb 0.0000 0.5000 0.5000
Sb 0.5000 0.0000 0.5000
Sb 0.5000 0.5000 0.0000
Mo 0.5000 0.5000 0.5000


No. 9
A plane-wave DFT calculation with PBE was carried out for an optimized crystal structure of Zr4SbMo.

Values from the calculation:
Spin magnetization: 0.00 μB per formula unit
SG: F-43m (216)
Electronic total energy: -0.287 hartree per atom

Lattice parameters (Å, degrees): 5.6750 5.6750 5.6750 60.00 60.00 60.00
Element x y z (fractional)
Zr 0.1233 0.1233 0.1233
Zr 0.1233 0.1233 0.6300
Zr 0.1233 0.6300 0.1233
Zr 0.6300 0.1233 0.1233
Sb 0.5000 0.5000 0.5000
Mo 0.7500 0.7500 0.7500


No. 10
A plane-wave DFT calculation with PBE was carried out for an optimized crystal structure of Zr4Sb2Mo.

Values from the calculation:
Spin magnetization: 0.00 μB per formula unit
SG: I4/mmm (139)
Electronic total energy: -0.273 hartree per atom

Lattice parameters (Å, degrees): 8.3447 8.3447 8.3447 145.94 145.94 48.94
Element x y z (fractional)
Zr 0.0000 0.5000 0.5000
Zr 0.1725 0.1725 0.0000
Zr 0.5000 0.0000 0.5000
Zr 0.8275 0.8275 0.0000
Sb 0.3638 0.3638 0.0000
Sb 0.6362 0.6362 0.0000
Mo 0.0000 0.0000 0.0000


No. 11
A plane-wave DFT calculation with PBE was carried out for an optimized crystal structure of ZrSb2Mo.

Values from the calculation:
Spin magnetization: 0.00 μB per formula unit
SG: Cm (8)
Energy relative to the lowest polymorph listed for this composition: 51 meV/atom
Electronic total energy: -0.260 hartree per atom

Lattice parameters (Å, degrees): 5.4140 5.4140 4.7670 100.03 100.03 38.75
Element x y z (fractional)
Zr 0.0000 0.0000 0.0000
Sb 0.4716 0.4716 0.4865
Sb 0.7267 0.7267 0.0905
Mo 0.1872 0.1872 0.5809


No. 12
A plane-wave DFT calculation with PBE was carried out for an optimized crystal structure of ZrSb2Mo.

Values from the calculation:
Spin magnetization: 0.00 μB per formula unit
SG: Cmm2 (35)
Energy relative to the lowest polymorph listed for this composition: 198 meV/atom
Electronic total energy: -0.254 hartree per atom

Lattice parameters (Å, degrees): 3.1141 3.1141 10.3323 90.00 90.00 106.73
Element x y z (fractional)
Zr 0.0000 0.0000 0.0000
Sb 0.0000 0.0000 0.4073
Sb 0.5000 0.5000 0.7718
Mo 0.5000 0.5000 0.2082